Sn3GeSe4 (PBE, optimized geometry); total moment = 0.00 Bohr magnetons per cell; E_form (uncorrected) = -372 meV/atom
1.0
-3.6834 -5.9321 2.1960
4.5608 -1.8323 -5.4001
6.0648 -1.6609 5.6858
Sn Se Ge
6 8 2
Direct
0.7500 0.5000 0.6399 Sn
0.2500 0.5000 0.3601 Sn
0.7500 0.5000 0.1248 Sn
0.2500 0.0000 0.6318 Sn
0.2500 0.5000 0.8752 Sn
0.7500 0.0000 0.3682 Sn
0.0062 0.2438 0.1242 Se
0.0118 0.7612 0.3635 Se
0.9882 0.2388 0.6365 Se
0.5062 0.2438 0.8758 Se
0.4882 0.2388 0.3635 Se
0.5118 0.7612 0.6365 Se
0.9938 0.7562 0.8758 Se
0.4938 0.7562 0.1242 Se
0.7500 0.0000 0.8552 Ge
0.2500 0.0000 0.1448 Ge



ZnTc3N (PBE, optimized geometry); total moment = 0.00 Bohr magnetons per cell; E_form (uncorrected) = 285 meV/atom
1.0
-1.3760 -4.8494 0.3490
6.0989 -1.9840 -3.5222
3.5680 -0.5456 6.4856
Tc Zn N
12 4 4
Direct
0.9891 0.0745 0.1545 Tc
0.4891 0.4255 0.3455 Tc
0.0109 0.5745 0.8455 Tc
0.0109 0.9255 0.8455 Tc
0.7406 0.2500 0.8041 Tc
0.7594 0.7500 0.3041 Tc
0.5109 0.5745 0.6545 Tc
0.4891 0.0745 0.3455 Tc
0.5109 0.9255 0.6545 Tc
0.2594 0.7500 0.1959 Tc
0.2406 0.2500 0.6959 Tc
0.9891 0.4255 0.1545 Tc
0.0000 0.0000 0.5000 Zn
0.5000 0.5000 0.0000 Zn
0.5000 0.0000 0.0000 Zn
0.0000 0.5000 0.5000 Zn
0.0752 0.2500 0.9463 N
0.4248 0.7500 0.4463 N
0.9248 0.7500 0.0537 N
0.5752 0.2500 0.5537 N



TiAlRePt (PBE, optimized geometry); calculated formation energy = -15.72 kcal/mol of atoms; total moment = 0.00 Bohr magnetons per cell
1.0
4.3720 0.0000 0.0000
2.1860 3.7863 0.0000
2.1860 1.2621 3.5697
Al Pt Re Ti
1 1 1 1
Direct
0.2500 0.2500 0.2500 Al
0.0000 0.0000 0.0000 Pt
0.5000 0.5000 0.5000 Re
0.7500 0.7500 0.7500 Ti



Ti2GaSi (PBE, optimized geometry); total moment = 0.00 Bohr magnetons per cell; E_form (uncorrected) = -213 meV/atom
1.0
6.9662 0.0000 0.0000
0.0000 6.9662 0.0000
3.4831 3.4831 2.7337
Ga Ti Si
2 4 2
Direct
0.0000 0.0000 0.0000 Ga
0.7500 0.2500 0.5000 Ga
0.3750 0.3826 0.7500 Ti
0.1326 0.6250 0.2500 Ti
0.6174 0.1250 0.2500 Ti
0.8750 0.8674 0.7500 Ti
0.5000 0.5000 0.0000 Si
0.2500 0.7500 0.5000 Si



PuIn3Au (PBE, optimized geometry); calculated formation energy = -3.96 kcal/mol of atoms; total moment = 5.78 Bohr magnetons per cell
1.0
4.0728 0.3754 -1.8215
-1.0266 4.1173 -1.4284
0.6824 0.1913 7.0621
In Au Pu
3 1 1
Direct
0.3435 0.8437 0.6867 In
0.8430 0.3432 0.6867 In
0.9979 0.9968 0.9947 In
0.2061 0.2075 0.4136 Au
0.6125 0.6119 0.2244 Pu



Pm3Y2Ag3 (PBE, optimized geometry); calculated formation energy = -4.52 kcal/mol of atoms; total moment = 0.00 Bohr magnetons per cell
1.0
-1.3780 2.4867 2.3971
-4.9398 -0.8003 -2.0096
1.4718 -8.8492 7.1416
Pm Ag Y
3 3 2
Direct
0.5000 0.0000 0.0000 Pm
0.6212 0.6212 0.2425 Pm
0.3788 0.3788 0.7575 Pm
0.0000 0.5000 0.0000 Ag
0.8803 0.8803 0.7606 Ag
0.1197 0.1197 0.2394 Ag
0.7315 0.2315 0.4630 Y
0.2685 0.7685 0.5370 Y



PuSc3Hg4 (PBE, optimized geometry); calculated formation energy = -7.13 kcal/mol of atoms; total moment = 12.85 Bohr magnetons per cell
1.0
-1.0746 -4.4320 2.1155
3.3811 2.1108 6.1395
-8.6546 3.7570 3.4745
Hg Pu Sc
8 2 6
Direct
0.5000 0.2316 0.5000 Hg
0.0001 0.2316 0.7500 Hg
0.9999 0.2316 0.2500 Hg
0.5000 0.7684 0.5000 Hg
0.5000 0.2316 0.0000 Hg
0.0001 0.7684 0.7500 Hg
0.5000 0.7684 0.0000 Hg
0.9999 0.7684 0.2500 Hg
0.0000 0.5000 0.5000 Pu
0.0000 0.5000 0.0000 Pu
0.5002 0.5000 0.7500 Sc
0.4998 0.5000 0.2500 Sc
0.0000 0.0000 0.5000 Sc
0.4999 0.0000 0.2500 Sc
0.5001 0.0000 0.7500 Sc
0.0000 0.0000 0.0000 Sc



Dy12CdCo5 (PBE, optimized geometry); calculated formation energy = -4.81 kcal/mol of atoms; total moment = 0.00 Bohr magnetons per cell
1.0
7.7344 0.0274 -2.9321
-4.0238 6.7983 -2.4519
0.0130 -0.0274 8.2715
Cd Dy Co
1 12 5
Direct
0.0000 0.5000 0.5000 Cd
0.4766 0.1846 0.2920 Dy
0.1926 0.9850 0.7925 Dy
0.6953 0.3150 0.0103 Dy
0.6953 0.6850 0.3802 Dy
0.1926 0.4001 0.2075 Dy
0.3047 0.3150 0.6198 Dy
0.5234 0.8154 0.7080 Dy
0.8074 0.5999 0.7925 Dy
0.8074 0.0150 0.2075 Dy
0.8926 0.1846 0.7080 Dy
0.1074 0.8154 0.2920 Dy
0.3047 0.6850 0.9897 Dy
0.3781 0.3781 0.0000 Co
0.0000 0.0000 0.0000 Co
0.5000 0.8870 0.3870 Co
0.6219 0.6219 0.0000 Co
0.5000 0.1130 0.6130 Co



NdDy2HoIn4 (PBE, optimized geometry); calculated formation energy = -10.75 kcal/mol of atoms; total moment = 0.00 Bohr magnetons per cell
1.0
-3.1584 4.0871 -1.3811
-2.9071 2.5081 3.7209
4.5842 7.7768 2.1810
In Dy Nd Ho
4 2 1 1
Direct
0.3766 0.3766 0.8703 In
0.6234 0.6234 0.1297 In
0.1264 0.1264 0.6207 In
0.8736 0.8736 0.3793 In
0.2495 0.2495 0.2514 Dy
0.7505 0.7505 0.7486 Dy
0.0000 0.0000 0.0000 Nd
0.5000 0.5000 0.5000 Ho



BHRh2C (PBE, optimized geometry); energy = -31.01 eV per cell; total moment = 0.00 Bohr magnetons per cell
1.0
-3.9530 -0.9592 -0.2148
0.2409 -1.5013 2.2708
-0.9151 3.2657 2.2561
B H Rh C
1 1 2 1
Direct
0.5000 0.5000 0.5000 B
0.0000 0.5000 0.0000 H
0.0000 0.0000 0.5000 Rh
0.5000 0.0000 0.0000 Rh
0.0000 0.0000 0.0000 C



ScSnAs2Br (PBE, optimized geometry); total moment = 0.00 Bohr magnetons per cell; E_form (uncorrected) = -170 meV/atom
1.0
-5.0254 -1.2509 -0.3185
0.8015 -4.0274 3.1714
-1.0150 3.0319 4.1068
As Sc Br Sn
2 1 1 1
Direct
0.0000 0.5000 0.0000 As
0.5000 0.0000 0.0000 As
0.0000 0.0000 0.0000 Sc
0.0000 0.0000 0.5000 Br
0.5000 0.5000 0.5000 Sn



Ca6AlCd2 (PBE, optimized geometry); calculated formation energy = -4.88 kcal/mol of atoms; total moment = 0.00 Bohr magnetons per cell
1.0
-2.6797 4.6678 -0.2708
-6.8818 -0.9522 -1.9357
-3.4153 1.5917 7.6081
Al Ca Cd
1 6 2
Direct
0.0000 0.5000 0.5000 Al
0.3059 0.2178 0.1703 Ca
0.6941 0.7822 0.8297 Ca
0.6402 0.2197 0.5000 Ca
0.0238 0.7822 0.1703 Ca
0.3598 0.7803 0.5000 Ca
0.9762 0.2178 0.8297 Ca
0.3344 0.5000 0.8311 Cd
0.6656 0.5000 0.1689 Cd



NaIrF5 (PBE, optimized geometry); total moment = 2.02 Bohr magnetons per cell; E_form (uncorrected) = -1875 meV/atom
1.0
-4.3347 -0.5710 3.5978
-3.3284 -4.0621 -2.1168
1.1351 -6.3417 4.0741
F Na Ir
10 2 2
Direct
0.8008 0.7404 0.1159 F
0.3049 0.7391 0.0317 F
0.2596 0.1992 0.3841 F
0.1992 0.2596 0.8841 F
0.8999 0.1001 0.2500 F
0.6951 0.2609 0.9683 F
0.2609 0.6951 0.4683 F
0.1001 0.8999 0.7500 F
0.7391 0.3049 0.5317 F
0.7404 0.8008 0.6159 F
0.5289 0.4711 0.2500 Na
0.4711 0.5289 0.7500 Na
0.0000 0.0000 0.0000 Ir
0.0000 0.0000 0.5000 Ir



Cr2TeW (PBE, optimized geometry); total moment = 0.01 Bohr magnetons per cell; E_form (uncorrected) = 705 meV/atom
1.0
-5.9362 -0.9236 5.4322
-4.7716 -3.7403 5.3704
-3.4956 -1.6015 7.1286
Cr W Te
2 1 1
Direct
0.2593 0.2593 0.2593 Cr
0.9954 0.9954 0.9954 Cr
0.7408 0.7408 0.7408 W
0.5045 0.5045 0.5045 Te



CuC (PBE, optimized geometry); calculated formation energy = 33.95 kcal/mol of atoms; total moment = 0.00 Bohr magnetons per cell
1.0
-0.5055 -3.0274 1.6975
1.6856 0.0258 -3.0757
2.9398 0.4144 1.6146
C Cu
2 2
Direct
0.0000 0.0000 0.0000 C
0.0000 0.0000 0.5000 C
0.3333 0.6667 0.2500 Cu
0.6667 0.3333 0.7500 Cu



LiRh3 (PBE, optimized geometry); calculated formation energy = 0.15 kcal/mol of atoms; total moment = 0.00 Bohr magnetons per cell
1.0
-2.8918 6.1482 -5.7335
-3.3938 3.9254 -7.2186
-5.2152 4.7770 -5.3867
Li Rh
1 3
Direct
0.0000 0.0000 0.0000 Li
0.5000 0.5000 0.5000 Rh
0.7501 0.7501 0.7501 Rh
0.2499 0.2499 0.2499 Rh



Ca2ScAgP (PBE, optimized geometry); calculated formation energy = -9.18 kcal/mol of atoms; total moment = 1.07 Bohr magnetons per cell
1.0
5.4534 0.0000 0.0000
0.0000 4.9486 0.0000
0.0000 0.0000 5.4534
Ca Sc Ag P
2 1 1 1
Direct
0.5000 0.0000 0.0000 Ca
0.0000 0.0000 0.5000 Ca
0.0000 0.5000 0.0000 Sc
0.5000 0.5000 0.5000 Ag
0.0000 0.0000 0.0000 P



Dy8Er3Th2 (PBE, optimized geometry); calculated formation energy = 6.30 kcal/mol of atoms; total moment = 0.00 Bohr magnetons per cell
1.0
-0.7357 -3.8925 3.9981
7.2698 -0.9259 0.4363
-3.1333 7.8271 7.0524
Dy Th Er
8 2 3
Direct
0.9998 0.3341 0.6682 Dy
0.4994 0.1739 0.7832 Dy
0.0007 0.1388 0.2776 Dy
0.5006 0.3907 0.2168 Dy
0.0002 0.6659 0.3318 Dy
0.5006 0.8261 0.2168 Dy
0.9993 0.8612 0.7224 Dy
0.4994 0.6093 0.7832 Dy
0.4998 0.7547 0.5094 Th
0.5002 0.2453 0.4906 Th
0.5000 0.0000 0.0000 Er
0.0000 0.2730 0.0000 Er
0.0000 0.7270 0.0000 Er



Ce2Pm3Ru2 (PBE, optimized geometry); calculated formation energy = -5.86 kcal/mol of atoms; total moment = 0.00 Bohr magnetons per cell
1.0
3.7322 0.0011 -0.8363
-2.3072 5.6661 -1.5622
0.0602 0.3318 9.0006
Ce Ru Pm
2 2 3
Direct
0.3587 0.5323 0.1849 Ce
0.6413 0.4677 0.8151 Ce
0.0311 0.8281 0.2328 Ru
0.9689 0.1719 0.7672 Ru
0.1992 0.8146 0.5838 Pm
0.5000 0.0000 0.0000 Pm
0.8008 0.1854 0.4162 Pm



Zn2SiTe (PBE, optimized geometry); total moment = 0.00 Bohr magnetons per cell; E_form (uncorrected) = 277 meV/atom
1.0
-2.6573 -3.0266 -0.4737
2.9569 -2.3629 -1.4901
0.9737 -1.6299 4.9519
Zn Si Te
2 1 1
Direct
0.0000 0.0000 0.0000 Zn
0.5000 0.5000 0.0000 Zn
0.5000 0.5000 0.5000 Si
0.0000 0.0000 0.5000 Te